1.
First-principles (GGA-PBEsol) data for a relaxed ZnCuRh2 crystal, as listed in Alexandria via LeMat-Bulk.

CIF file:
```
data_ZnCuRh2
_chemical_formula_sum 'Zn1 Cu1 Rh2'
_symmetry_space_group_name_H-M 'P 1'
_symmetry_Int_Tables_number 1
_cell_length_a 2.627
_cell_length_b 2.627
_cell_length_c 8.682
_cell_angle_alpha 90.00
_cell_angle_beta 90.00
_cell_angle_gamma 118.33
loop_
_symmetry_equiv_pos_as_xyz
'x,y,z'
loop_
_atom_site_label
_atom_site_type_symbol
_atom_site_fract_x
_atom_site_fract_y
_atom_site_fract_z
Zn1 Zn 0.000 0.000 0.000
Cu1 Cu 0.500 0.500 0.760
Rh1 Rh 0.000 0.000 0.511
Rh2 Rh 0.500 0.500 0.249
```

Computed properties:
The density of states at the Fermi level comes out at 1.178 states/eV/atom. Its formation enthalpy at 0 K is 0.06 eV per atom. As for the calculated volume: 52.7 Å³/cell. Its space-group type is Cmm2 (35).

---

2.
First-principles (GGA-PBEsol) data for a relaxed Li7NbO6 crystal, as listed in Alexandria via LeMat-Bulk.

CIF file:
```
data_Li7NbO6
_chemical_formula_sum 'Li7 Nb1 O6'
_symmetry_space_group_name_H-M 'P 1'
_symmetry_Int_Tables_number 1
_cell_length_a 5.815
_cell_length_b 5.815
_cell_length_c 5.815
_cell_angle_alpha 56.85
_cell_angle_beta 56.85
_cell_angle_gamma 56.85
loop_
_symmetry_equiv_pos_as_xyz
'x,y,z'
loop_
_atom_site_label
_atom_site_type_symbol
_atom_site_fract_x
_atom_site_fract_y
_atom_site_fract_z
Li1 Li 0.000 0.000 0.000
Li2 Li 0.159 0.531 0.927
Li3 Li 0.163 0.723 0.421
Li4 Li 0.421 0.163 0.723
Li5 Li 0.531 0.927 0.159
Li6 Li 0.723 0.421 0.163
Li7 Li 0.927 0.159 0.531
Nb1 Nb 0.653 0.653 0.653
O1 O 0.016 0.420 0.771
O2 O 0.275 0.858 0.583
O3 O 0.420 0.771 0.016
O4 O 0.583 0.275 0.858
O5 O 0.771 0.016 0.420
O6 O 0.858 0.583 0.275
```

Computed properties:
The density of states at the Fermi level comes out at 0.000 states/eV/atom. As for the total DFT energy (no corrections): -0.2257 hartree per atom. As for the calculated volume: 128.9 Å³/cell. Its space-group type is R3 (146).

---

3.
First-principles (GGA-PBEsol) data for a relaxed ZnW2Cl crystal, as listed in Alexandria via LeMat-Bulk.

CIF file:
```
data_ZnW2Cl
_chemical_formula_sum 'Zn1 W2 Cl1'
_symmetry_space_group_name_H-M 'P 1'
_symmetry_Int_Tables_number 1
_cell_length_a 6.197
_cell_length_b 6.197
_cell_length_c 6.197
_cell_angle_alpha 151.34
_cell_angle_beta 139.10
_cell_angle_gamma 50.70
loop_
_symmetry_equiv_pos_as_xyz
'x,y,z'
loop_
_atom_site_label
_atom_site_type_symbol
_atom_site_fract_x
_atom_site_fract_y
_atom_site_fract_z
Zn1 Zn 0.000 0.000 0.000
W1 W 0.464 0.464 0.000
W2 W 0.630 0.130 0.500
Cl1 Cl 0.265 0.765 0.500
```

Computed properties:
The density of states at the Fermi level comes out at 0.575 states/eV/atom. As for the total DFT energy (no corrections): -0.2597 hartree per atom. As for the calculated volume: 74.4 Å³/cell. Its space-group type is Imm2 (44).